Here is a geometry-optimized KNdFe4O12 structure from Alexandria. Energies are from PBE+U.

POSCAR file:
```
KNdFe4O12
1.0
3.834 -3.836 0.000
3.834 3.836 0.000
0.000 0.000 7.688
K Nd Fe O
1 1 4 12
Cartesian
3.834 -3.834 0.000
3.834 -0.002 3.844
5.752 -1.917 5.799
5.752 -1.917 1.890
1.917 -1.917 1.890
1.917 -1.917 5.799
5.676 0.001 5.652
1.993 0.001 5.652
1.993 0.001 2.036
5.676 0.001 2.036
3.834 1.840 5.647
3.834 -1.839 5.658
3.834 -1.839 2.030
3.834 1.840 2.041
1.922 1.918 0.000
5.745 -1.915 3.844
5.747 1.918 0.000
1.924 -1.915 3.844
```

Results
spin magnetization: 19.6 μB/f.u.
crystal system: orthorhombic
total energy: -5.95 eV/atom
space group: No. 38